{"formula": "NaLaRu3", "functional": "PBE-GGA", "state": "relaxed", "space_group": "Pm-3m, No. 221", "dos_at_fermi_per_ev_atom": 2.21, "polymorph_energy_ev_per_atom": 0.000, "crystal_system": "cubic", "cell": [[-3.729, 1.639, 2.243], [0.280, -3.514, 3.032], [2.764, 2.567, 2.719]], "species": ["Na", "Ru", "Ru", "Ru", "La"], "frac_coords": [[0.000, 0.000, 0.000], [0.500, 0.000, 0.000], [0.000, 0.000, 0.500], [0.000, 0.500, 0.000], [0.500, 0.500, 0.500]]}

=====

{"formula": "NaLaRu2", "functional": "PBE-GGA", "state": "relaxed", "space_group": "I-42d, No. 122", "dos_at_fermi_per_ev_atom": 1.44, "polymorph_energy_ev_per_atom": 0.213, "crystal_system": "tetragonal", "cell": [[7.776, 0.000, 0.000], [0.000, 7.776, 0.000], [3.888, 3.888, 2.704]], "species": ["La", "Na", "Ru", "Ru", "La", "Ru", "Ru", "Na"], "frac_coords": [[0.750, 0.250, 0.500], [0.500, 0.500, 0.000], [0.130, 0.625, 0.250], [0.620, 0.125, 0.250], [0.000, 0.000, 0.000], [0.375, 0.380, 0.750], [0.875, 0.870, 0.750], [0.250, 0.750, 0.500]]}

=====

{"formula": "NaLa3Ru", "functional": "PBE-GGA", "state": "relaxed", "space_group": "C2/c, No. 15", "dos_at_fermi_per_ev_atom": 1.05, "polymorph_energy_ev_per_atom": 0.138, "crystal_system": "monoclinic", "cell": [[13.769, 0.000, 0.392], [5.587, 6.796, -3.324], [-5.587, 6.796, 3.324]], "species": ["La", "Ru", "La", "La", "Ru", "Na", "Ru", "La", "La", "Na", "Na", "La", "Ru", "La", "La", "Na", "La", "La", "La", "La"], "frac_coords": [[0.457, 0.564, 0.226], [0.750, 0.526, 0.026], [0.543, 0.436, 0.774], [0.957, 0.274, 0.936], [0.250, 0.474, 0.974], [0.347, 0.886, 0.786], [0.250, 0.798, 0.298], [0.005, 0.022, 0.290], [0.808, 0.472, 0.347], [0.653, 0.114, 0.214], [0.153, 0.286, 0.386], [0.192, 0.528, 0.653], [0.750, 0.202, 0.702], [0.308, 0.153, 0.028], [0.043, 0.726, 0.064], [0.847, 0.714, 0.614], [0.495, 0.790, 0.522], [0.995, 0.978, 0.710], [0.505, 0.210, 0.478], [0.692, 0.847, 0.972]]}

=====

{"formula": "Na3LaRu", "functional": "PBE-GGA", "state": "relaxed", "space_group": "Pm-3m, No. 221", "dos_at_fermi_per_ev_atom": 0.99, "total_energy_ev_per_atom": -2.6598, "crystal_system": "cubic", "cell": [[-1.194, -3.065, 4.220], [5.133, 0.077, 1.509], [-0.925, 4.385, 2.924]], "species": ["La", "Na", "Ru", "Na", "Na"], "frac_coords": [[0.500, 0.500, 0.500], [0.000, 0.000, 0.500], [0.000, 0.000, 0.000], [0.000, 0.500, 0.000], [0.500, 0.000, 0.000]]}